## Dy4Si2S3O7 (PBE-GGA)

Data for a relaxed structure of Dy4Si2S3O7.

Cell: 10.6831 10.6831 10.6831 Å, 100.92 113.91 113.91°
Last column: nearest neighbours and their distance in Å.
Positions (direct):
Dy: 0.0952 0.2976 0.0476  6 O 2.36-2.51
Dy: 0.7500 0.9524 0.0476  6 O 2.36-2.51
Dy: 0.5150 0.6585 0.1735  3 O 2.28-2.42
Dy: 0.2500 0.7024 0.2976  6 O 2.36-2.51
Dy: 0.5952 0.0476 0.2976  6 O 2.36-2.51
Dy: 0.5149 0.3564 0.3415  3 O 2.28-2.42
Dy: 0.9850 0.8265 0.3415  3 O 2.28-2.42
Dy: 0.0150 0.3415 0.3564  3 O 2.28-2.42
Dy: 0.9850 0.6585 0.6436  3 O 2.28-2.42
Dy: 0.0150 0.1735 0.6585  3 O 2.28-2.42
Dy: 0.4850 0.6436 0.6585  3 O 2.28-2.42
Dy: 0.7500 0.2976 0.7024  6 O 2.36-2.51
Dy: 0.4048 0.9524 0.7024  6 O 2.36-2.51
Dy: 0.4850 0.3415 0.8265  3 O 2.28-2.42
Dy: 0.2500 0.0476 0.9524  6 O 2.36-2.51
Dy: 0.9048 0.7024 0.9524  6 O 2.36-2.51
O: 0.2328 0.5674 0.0824  1 Si 1.63
O: 0.5150 0.8496 0.0824  1 Si 1.63
O: 0.2328 0.1654 0.1504  1 Si 1.63
O: 0.9850 0.9176 0.1504  1 Si 1.63
O: 0.7500 0.4009 0.1509  2 Si 1.63
O: 0.7328 0.1504 0.1654  1 Si 1.63
O: 0.0150 0.4326 0.1654  1 Si 1.63
O: 0.5168 0.1909 0.1741  1 Si 1.65
O: 0.9832 0.6574 0.1741  1 Si 1.65
O: 0.0168 0.1741 0.1909  1 Si 1.65
O: 0.5168 0.8259 0.3426  1 Si 1.65
O: 0.2500 0.1509 0.4009  2 Si 1.63
O: 0.2672 0.9176 0.4326  1 Si 1.63
O: 0.5150 0.1654 0.4326  1 Si 1.63
O: 0.7328 0.0824 0.5674  1 Si 1.63
O: 0.4850 0.8346 0.5674  1 Si 1.63
O: 0.7500 0.8491 0.5991  2 Si 1.63
O: 0.4832 0.1741 0.6574  1 Si 1.65
O: 0.9832 0.8259 0.8091  1 Si 1.65
O: 0.0168 0.3426 0.8259  1 Si 1.65
O: 0.4832 0.8091 0.8259  1 Si 1.65
O: 0.2672 0.8496 0.8346  1 Si 1.63
O: 0.9850 0.5674 0.8346  1 Si 1.63
O: 0.2500 0.5991 0.8491  2 Si 1.63
O: 0.0150 0.0824 0.8496  1 Si 1.63
O: 0.7672 0.8346 0.8496  1 Si 1.63
O: 0.4850 0.1504 0.9176  1 Si 1.63
O: 0.7672 0.4326 0.9176  1 Si 1.63
S: 0.3541 0.3541 0.0000  4 Dy 2.75-2.86, 2 O 3.02
S: 0.6459 0.6459 0.0000  4 Dy 2.75-2.86, 2 O 3.02
S: 0.2500 0.8750 0.1250  4 Dy 2.84, 12 O 3.15-3.18
S: 0.8541 0.0000 0.3541  4 Dy 2.75-2.86, 2 O 3.02
S: 0.3541 0.5000 0.3541  4 Dy 2.75-2.86, 2 O 3.02
S: 0.7500 0.6250 0.3750  4 Dy 2.78, 2 O 3.05
S: 0.1459 0.6459 0.5000  4 Dy 2.75-2.86, 2 O 3.02
S: 0.8541 0.3541 0.5000  4 Dy 2.75-2.86, 2 O 3.02
S: 0.2500 0.3750 0.6250  4 Dy 2.78, 2 O 3.05
S: 0.1459 0.0000 0.6459  4 Dy 2.75-2.86, 2 O 3.02
S: 0.6459 0.5000 0.6459  4 Dy 2.75-2.86, 2 O 3.02
S: 0.7500 0.1250 0.8750  4 Dy 2.84, 12 O 3.15-3.18
Si: 0.6251 0.2213 0.0961  4 O 1.63-1.65
Si: 0.8749 0.4710 0.0961  4 O 1.63-1.65
Si: 0.1251 0.0961 0.2213  4 O 1.63-1.65
Si: 0.3749 0.0961 0.4710  4 O 1.63-1.65
Si: 0.6251 0.9039 0.5290  4 O 1.63-1.65
Si: 0.8749 0.9039 0.7787  4 O 1.63-1.65
Si: 0.1251 0.5290 0.9039  4 O 1.63-1.65
Si: 0.3749 0.7787 0.9039  4 O 1.63-1.65

Total DFT energy (no corrections)   -7.6367 eV per atom
Density   6.578 g/cm³